LaTl2Tc PBE-GGA relaxed; DOS at the Fermi energy = 7.4 states/eV per cell; ΔE to the lowest computed polymorph = 0.271 eV per atom; ΔH_f (0 K) = 0.46 eV per atom; space-group type = I-42d; V = 211.51 Å³ per cell
1.0
-0.443 -4.242 -0.909
-0.295 -0.882 4.260
-11.408 -1.301 1.172
Tl Tc La
4 2 2
Cartesian
-3.154 -2.975 0.282
-9.194 -5.436 3.700
-3.103 -1.518 2.818
-8.841 -2.921 2.248
-0.369 -2.562 1.676
-6.036 -2.373 3.554
-6.110 -4.053 0.970
0.000 0.000 0.000

LaTlTc4 PBE-GGA relaxed; DOS at the Fermi energy = 7.3 states/eV per cell; ΔH_f (0 K) = 0.32 eV per atom; space-group type = F-43m; V = 113.52 Å³ per cell
1.0
1.984 -4.327 2.624
-1.477 -0.975 5.139
-3.244 -4.208 1.143
Tc Tl La
4 1 1
Cartesian
-1.760 -4.062 5.890
-2.632 -5.658 3.918
-0.052 -5.716 4.649
-1.031 -3.581 3.354
-2.053 -7.132 6.679
0.000 0.000 0.000

LaTl2Tc PBE-GGA relaxed; DOS at the Fermi energy = 4.3 states/eV per cell; ΔE to the lowest computed polymorph = 0.056 eV per atom; ΔH_f (0 K) = 0.25 eV per atom; space-group type = P4/mmm; V = 94.61 Å³ per cell
1.0
-2.613 -1.245 -1.973
2.309 -1.784 -1.932
-0.702 -6.046 4.744
La Tc Tl
1 1 2
Cartesian
-0.327 -3.026 -0.767
-0.678 -6.049 1.605
-0.384 -3.312 2.598
-0.668 -5.758 4.517

La6TlTc PBE-GGA relaxed; DOS at the Fermi energy = 9.1 states/eV per cell; ΔH_f (0 K) = -0.05 eV per atom; space-group type = C2/m; V = 275.73 Å³ per cell
1.0
-0.777 6.441 -1.378
-0.925 0.531 -8.418
-5.514 -0.232 -3.686
Tl La Tc
1 6 1
Cartesian
0.000 0.000 0.000
-2.655 1.441 -5.175
-4.561 5.298 -8.307
-4.295 1.590 -9.262
-0.507 2.754 -2.277
-2.921 5.149 -4.220
-1.195 4.217 -7.519
-0.851 3.486 -4.898

LaTl2Tc PBE-GGA relaxed; DOS at the Fermi energy = 2.4 states/eV per cell; ΔE to the lowest computed polymorph = 0.000 eV per atom; ΔH_f (0 K) = 0.19 eV per atom; space-group type = Immm; V = 99.22 Å³ per cell
1.0
6.169 0.011 0.010
2.917 5.435 -0.010
-3.980 -3.663 2.966
Tl Tc La
2 1 1
Cartesian
4.235 2.538 0.000
0.308 0.185 0.000
1.740 2.248 1.478
3.366 -0.464 1.488

LaTl2Tc PBE-GGA relaxed; DOS at the Fermi energy = 2.7 states/eV per cell; ΔE to the lowest computed polymorph = 0.005 eV per atom; ΔH_f (0 K) = 0.19 eV per atom; space-group type = Imm2; V = 104.93 Å³ per cell
1.0
7.231 0.002 0.007
6.450 3.270 0.007
1.530 0.366 4.441
La Tl Tc
1 2 1
Cartesian
8.477 2.027 1.910
12.792 3.059 0.337
11.456 2.740 3.325
3.773 0.902 1.126

LaTl2Tc PBE-GGA relaxed; DOS at the Fermi energy = 4.8 states/eV per cell; ΔE to the lowest computed polymorph = 0.443 eV per atom; ΔH_f (0 K) = 0.63 eV per atom; space-group type = R-3m; V = 103.73 Å³ per cell
1.0
11.406 0.210 0.123
10.881 3.429 0.123
10.881 1.777 2.936
Tc La Tl
1 1 2
Cartesian
24.876 4.062 2.387
8.292 1.354 0.796
5.003 0.817 0.480
11.581 1.891 1.111

LaTl2Tc PBE-GGA relaxed; DOS at the Fermi energy = 4.0 states/eV per cell; ΔE to the lowest computed polymorph = 0.197 eV per atom; ΔH_f (0 K) = 0.39 eV per atom; space-group type = I-4m2; V = 101.62 Å³ per cell
1.0
5.718 0.065 0.000
1.853 5.410 0.000
-3.786 -2.737 3.298
La Tl Tc
1 2 1
Cartesian
3.786 2.737 0.000
0.000 0.000 0.000
0.927 2.705 1.649
2.859 0.032 1.649

LaTl2Tc PBE-GGA relaxed; DOS at the Fermi energy = 3.9 states/eV per cell; ΔE to the lowest computed polymorph = 0.166 eV per atom; ΔH_f (0 K) = 0.36 eV per atom; space-group type = R3m; V = 107.16 Å³ per cell
1.0
-3.303 -6.509 -6.413
-4.893 -7.680 -3.390
-6.403 -5.021 -5.311
Tc Tl La
1 2 1
Cartesian
-10.960 -14.421 -11.346
-3.689 -4.854 -3.819
-0.211 -0.277 -0.218
-7.039 -9.262 -7.287

LaTl2Tc PBE-GGA relaxed; DOS at the Fermi energy = 3.4 states/eV per cell; ΔE to the lowest computed polymorph = 0.058 eV per atom; ΔH_f (0 K) = 0.25 eV per atom; space-group type = P2/m; V = 98.95 Å³ per cell
1.0
-2.383 2.071 3.944
-2.830 -1.929 -0.697
0.637 -4.969 2.993
Tl La Tc
2 1 1
Cartesian
-1.894 -6.543 2.290
-1.395 -3.804 1.154
-1.740 -0.689 2.546
-2.836 -4.138 3.694

La5Tl2Tc PBE-GGA relaxed; DOS at the Fermi energy = 16.9 states/eV per cell; ΔH_f (0 K) = -0.26 eV per atom; space-group type = Pbam; V = 512.18 Å³ per cell
1.0
-3.206 2.152 2.997
-6.213 -4.055 -3.735
1.278 -9.507 8.194
La Tc Tl
10 2 4
Cartesian
-5.476 -11.101 6.100
-3.052 -9.212 3.350
-2.666 -0.308 1.356
-5.122 -5.392 -1.607
-3.107 -2.027 -1.867
-2.837 -5.591 4.966
0.187 -8.169 6.066
-1.883 -4.349 1.109
0.639 -4.753 4.097
-5.304 -5.818 2.490
0.000 0.000 0.000
-2.468 -6.781 2.230
-4.976 -2.874 0.726
-6.479 -9.024 3.536
-3.165 -8.535 6.730
-1.663 -2.385 3.920

LaTl2Tc PBE-GGA relaxed; DOS at the Fermi energy = 2.9 states/eV per cell; ΔE to the lowest computed polymorph = 0.031 eV per atom; ΔH_f (0 K) = 0.22 eV per atom; space-group type = I4/mmm; V = 96.86 Å³ per cell
1.0
5.545 -0.014 0.000
1.641 5.297 0.000
-3.593 -2.641 3.295
Tl Tc La
2 1 1
Cartesian
0.000 0.000 0.000
3.593 2.641 0.000
2.773 -0.007 1.648
0.821 2.648 1.648

La3TlTc PBE-GGA relaxed; DOS at the Fermi energy = 9.2 states/eV per cell; ΔE to the lowest computed polymorph = 0.000 eV per atom; ΔH_f (0 K) = -0.17 eV per atom; space-group type = P-1; V = 304.01 Å³ per cell
1.0
-1.341 -5.690 -0.541
5.405 2.182 -3.815
2.477 -2.156 8.264
La Tc Tl
6 2 2
Cartesian
2.704 -4.541 6.369
3.837 -1.124 -2.460
3.180 -4.333 -0.410
1.662 -0.663 1.097
3.361 -1.332 4.319
4.879 -5.002 2.812
3.944 -1.583 6.874
2.597 -4.082 -2.965
4.917 -1.874 1.201
1.623 -3.790 2.708

La6Tl2Tc PBE-GGA relaxed; DOS at the Fermi energy = 8.8 states/eV per cell; ΔH_f (0 K) = -0.23 eV per atom; space-group type = Amm2; V = 286.16 Å³ per cell
1.0
4.117 0.000 0.000
0.000 9.010 0.000
0.000 -4.505 7.714
La Tc Tl
6 1 2
Cartesian
0.000 3.426 5.970
2.058 1.751 3.069
2.058 5.393 0.000
0.000 7.931 1.745
0.000 2.094 0.000
2.058 6.256 4.646
2.058 0.262 0.000
0.000 -0.042 5.121
0.000 4.463 2.593

LaTl2Tc PBE-GGA relaxed; DOS at the Fermi energy = 3.2 states/eV per cell; ΔE to the lowest computed polymorph = 0.012 eV per atom; ΔH_f (0 K) = 0.20 eV per atom; space-group type = Pm; V = 106.28 Å³ per cell
1.0
3.579 0.000 0.000
0.000 4.557 0.000
0.000 2.264 6.516
Tl Tc La
2 1 1
Cartesian
1.790 1.422 1.543
0.000 3.703 0.044
1.790 5.973 4.311
0.000 3.691 3.875

LaTl2Tc PBE-GGA relaxed; DOS at the Fermi energy = 5.5 states/eV per cell; ΔE to the lowest computed polymorph = 0.243 eV per atom; ΔH_f (0 K) = 0.43 eV per atom; space-group type = F-43m; V = 99.99 Å³ per cell
1.0
5.210 0.000 0.000
2.605 4.512 0.000
2.605 1.504 4.254
Tl La Tc
2 1 1
Cartesian
2.605 1.504 1.063
0.000 0.000 0.000
5.210 3.008 2.127
7.815 4.512 3.190

LaTl2Tc PBE-GGA relaxed; DOS at the Fermi energy = 4.6 states/eV per cell; ΔE to the lowest computed polymorph = 0.115 eV per atom; ΔH_f (0 K) = 0.30 eV per atom; space-group type = P4/mmm; V = 100.33 Å³ per cell
1.0
-4.611 1.917 -0.853
-1.360 -3.951 -1.531
-1.245 -1.165 4.110
La Tl Tc
1 2 1
Cartesian
-2.985 -1.017 -1.192
-1.302 -2.558 1.290
0.000 0.000 0.000
-2.928 0.376 1.629

LaTl2Tc PBE-GGA relaxed; DOS at the Fermi energy = 2.8 states/eV per cell; ΔE to the lowest computed polymorph = 0.250 eV per atom; ΔH_f (0 K) = 0.44 eV per atom; space-group type = Cmmm; V = 101.11 Å³ per cell
1.0
5.621 0.000 0.000
-2.187 5.177 0.000
0.000 0.000 3.474
Tc Tl La
1 2 1
Cartesian
-1.094 2.589 1.737
0.000 0.000 0.000
1.717 2.589 0.000
2.810 0.000 1.737

La8Tl2Tc PBE-GGA relaxed; DOS at the Fermi energy = 11.5 states/eV per cell; ΔH_f (0 K) = -0.17 eV per atom; space-group type = C2/m; V = 351.51 Å³ per cell
1.0
5.730 0.000 0.000
0.000 7.116 -0.128
-2.865 -3.195 8.678
Tl La Tc
2 8 1
Cartesian
0.000 3.757 3.003
2.865 0.164 5.547
2.865 5.608 2.369
0.000 1.664 7.001
0.000 5.541 -0.035
0.000 -1.686 6.181
2.865 2.258 1.549
0.000 0.425 3.561
2.865 3.496 4.989
2.865 -1.620 8.585
2.865 0.000 0.000

LaTl2Tc PBE-GGA relaxed; DOS at the Fermi energy = 3.7 states/eV per cell; ΔE to the lowest computed polymorph = 0.083 eV per atom; ΔH_f (0 K) = 0.27 eV per atom; space-group type = Fm-3m; V = 97.27 Å³ per cell
1.0
1.417 0.544 4.934
1.530 4.608 1.753
-2.996 2.643 3.269
Tl La Tc
2 1 1
Cartesian
-0.036 5.846 7.467
-0.012 1.949 2.489
-0.024 3.897 4.978
0.000 0.000 0.000